Entry 1:
First-principles (GGA-PBE) data for an optimized crystal structure of As3P, as listed in Alexandria via LeMat-Bulk.

Structure (POSCAR):
```
As3P
1.0
3.253 0.000 0.000
0.000 10.186 0.000
0.000 0.000 4.996
As P
6 2
Direct
0.000 0.000 0.000
0.000 0.171 0.631
0.000 0.829 0.631
0.500 0.329 0.131
0.500 0.500 0.500
0.500 0.671 0.131
0.000 0.500 0.956
0.500 0.000 0.456
```

Values from the calculation:
Offset from the most stable computed form: 332 meV/atom
Space-group type: Imm2, No. 44
Total magnetization: 0.00 μB per formula unit
Energy of formation: 0.39 eV per atom
VASP energy: -35.60 eV/cell
N(E_F): 3.12 states/eV/cell



Entry 2:
First-principles (GGA-PBE) data for an optimized crystal structure of HgSbAu3, as listed in Alexandria via LeMat-Bulk.

Structure (POSCAR):
```
HgSbAu3
1.0
6.320 -3.730 0.000
6.320 3.730 0.000
-2.776 0.000 5.236
Hg Sb Au
2 2 6
Direct
0.179 0.821 0.500
0.821 0.179 0.000
0.500 0.999 0.251
0.999 0.500 0.751
0.193 0.807 0.000
0.371 0.372 0.621
0.372 0.371 0.121
0.627 0.628 0.379
0.628 0.627 0.879
0.807 0.193 0.500
```

Values from the calculation:
Offset from the most stable computed form: 0 meV/atom
Space-group type: Cc, No. 9
Formation energy without anion corrections: 0.082 eV per atom
Total magnetization: 0.00 μB per formula unit
VASP energy: -27.70 eV/cell
N(E_F): 3.91 states/eV/cell



Entry 3:
First-principles (GGA-PBE) data for an optimized crystal structure of InTeH2, as listed in Alexandria via LeMat-Bulk.

Structure (POSCAR):
```
InTeH2
1.0
6.232 0.000 0.000
0.000 6.232 0.000
0.000 0.000 6.232
In Te H
4 4 8
Direct
0.000 0.000 0.000
0.000 0.500 0.500
0.500 0.000 0.500
0.500 0.500 0.000
0.000 0.000 0.500
0.000 0.500 0.000
0.500 0.000 0.000
0.500 0.500 0.500
0.250 0.250 0.250
0.250 0.250 0.750
0.250 0.750 0.250
0.250 0.750 0.750
0.750 0.250 0.250
0.750 0.250 0.750
0.750 0.750 0.250
0.750 0.750 0.750
```

Values from the calculation:
Offset from the most stable computed form: 568 meV/atom
Space-group type: Fm-3m, No. 225
Total magnetization: 0.00 μB per formula unit
VASP energy: -40.14 eV/cell
N(E_F): 9.47 states/eV/cell



Entry 4:
First-principles (GGA-PBE) data for an optimized crystal structure of Mg5Tl2Hg, as listed in Alexandria via LeMat-Bulk.

Structure (POSCAR):
```
Mg5Tl2Hg
1.0
6.246 0.000 0.000
-2.397 5.769 0.000
-1.434 -3.209 5.165
Mg Tl Hg
5 2 1
Direct
0.000 0.000 0.000
0.001 0.532 0.533
0.465 0.467 0.998
0.467 0.999 0.531
0.954 0.998 0.486
0.482 0.500 0.512
0.979 0.499 0.013
0.524 0.000 0.056
```

Values from the calculation:
Offset from the most stable computed form: 10 meV/atom
Space-group type: P1, No. 1
Total magnetization: 0.00 μB per formula unit
Energy of formation: -0.05 eV per atom
VASP energy: -13.43 eV/cell
N(E_F): 3.12 states/eV/cell



Entry 5:
First-principles (GGA-PBE) data for an optimized crystal structure of HoAlPb, as listed in Alexandria via LeMat-Bulk.

Structure (POSCAR):
```
HoAlPb
1.0
4.513 0.000 0.000
-2.257 3.909 0.000
0.000 0.000 4.350
Ho Al Pb
1 1 1
Direct
0.000 0.000 0.000
0.333 0.667 0.645
0.667 0.333 0.421
```

Values from the calculation:
Space-group type: P3m1, No. 156
Total magnetization: 0.00 μB per formula unit
Energy of formation: -0.19 eV per atom
VASP energy: -12.61 eV/cell
N(E_F): 0.71 states/eV/cell



Entry 6:
First-principles (GGA-PBE) data for an optimized crystal structure of LaTa2Fe2, as listed in Alexandria via LeMat-Bulk.

Structure (POSCAR):
```
LaTa2Fe2
1.0
4.285 0.000 0.000
0.000 4.285 0.000
0.000 0.000 10.240
La Ta Fe
2 4 4
Direct
0.000 0.000 0.000
0.500 0.500 0.500
0.000 0.500 0.250
0.000 0.500 0.750
0.500 0.000 0.250
0.500 0.000 0.750
0.000 0.000 0.381
0.000 0.000 0.619
0.500 0.500 0.119
0.500 0.500 0.881
```

Values from the calculation:
Offset from the most stable computed form: 0 meV/atom
Space-group type: I4/mmm, No. 139
Total magnetization: 0.00 μB per formula unit
Energy of formation: 0.00 eV per atom
VASP energy: -91.16 eV/cell
N(E_F): 7.69 states/eV/cell



Entry 7:
First-principles (GGA-PBE) data for an optimized crystal structure of TlAs3Pd, as listed in Alexandria via LeMat-Bulk.

Structure (POSCAR):
```
TlAs3Pd
1.0
4.982 0.000 0.000
0.000 4.982 0.000
0.000 0.000 4.982
Tl As Pd
1 3 1
Direct
0.000 0.000 0.000
0.000 0.500 0.500
0.500 0.000 0.500
0.500 0.500 0.000
0.500 0.500 0.500
```

Values from the calculation:
Offset from the most stable computed form: 0 meV/atom
Space-group type: Pm-3m, No. 221
Total magnetization: 0.00 μB per formula unit
Energy of formation: 0.45 eV per atom
VASP energy: -19.28 eV/cell
N(E_F): 5.78 states/eV/cell



Entry 8:
First-principles (GGA-PBE) data for an optimized crystal structure of Cd2BiSb2, as listed in Alexandria via LeMat-Bulk.

Structure (POSCAR):
```
Cd2BiSb2
1.0
9.139 0.000 0.000
0.000 9.139 0.000
0.000 0.000 3.402
Cd Bi Sb
4 2 4
Direct
0.111 0.389 0.000
0.389 0.889 0.000
0.611 0.111 0.000
0.889 0.611 0.000
0.000 0.000 0.500
0.500 0.500 0.500
0.198 0.698 0.500
0.302 0.198 0.500
0.698 0.802 0.500
0.802 0.302 0.500
```

Values from the calculation:
Offset from the most stable computed form: 58 meV/atom
Space-group type: P4/mbm, No. 127
Formation energy without anion corrections: 0.099 eV per atom
Total magnetization: 0.00 μB per formula unit
VASP energy: -26.92 eV/cell
N(E_F): 3.74 states/eV/cell



> Look up the VASP energy of the second one.

-27.70 eV/cell